No. 1
GGA-PBE Dy3Er2Tm6, optimized geometry; distance to the lowest polymorph of the same formula = 25.57 kJ/mol of atoms; electronic total energy = -0.3111 Ry/atom
1.0
-3.883 2.483 0.681
-1.470 -3.149 3.103
10.099 8.659 10.075
Dy Er Tm
3 2 6
direct
0.000 0.000 0.000
0.799 0.799 0.598
0.201 0.201 0.402
0.454 0.454 0.907
0.546 0.546 0.093
0.121 0.621 0.243
0.621 0.121 0.243
0.879 0.379 0.757
0.379 0.879 0.757
0.695 0.695 0.390
0.305 0.305 0.610

No. 2
GGA-PBE Mn2ZnRh, optimized geometry; electronic total energy = -0.5001 Ry/atom
1.0
-5.946 1.951 6.309
-2.051 -0.913 -1.651
3.733 -8.731 0.191
Mn Zn Rh
8 4 4
direct
0.019 0.000 0.864
0.981 0.000 0.136
0.019 0.500 0.364
0.981 0.500 0.636
0.810 0.000 0.400
0.190 0.000 0.600
0.810 0.500 0.900
0.190 0.500 0.100
0.537 0.000 0.877
0.463 0.000 0.123
0.537 0.500 0.377
0.463 0.500 0.623
0.276 0.000 0.363
0.724 0.000 0.637
0.276 0.500 0.863
0.724 0.500 0.137

No. 3
GGA-PBE Co2Ni6Ir, optimized geometry; distance to the lowest polymorph of the same formula = 0.00 kJ/mol of atoms; electronic total energy = -0.4705 Ry/atom
1.0
-3.444 -0.814 -0.373
-1.371 -3.203 2.675
-3.283 3.416 5.885
Co Ni Ir
2 6 1
direct
0.330 0.608 0.732
0.670 0.392 0.268
0.666 0.720 0.948
0.334 0.280 0.052
0.999 0.837 0.165
0.334 0.947 0.386
0.001 0.163 0.835
0.666 0.053 0.614
0.000 0.500 0.500

No. 4
GGA-PBE MoP2Br, optimized geometry; distance to the lowest polymorph of the same formula = 82.78 kJ/mol of atoms; electronic total energy = -0.3739 Ry/atom; uncorrected formation energy = 743 meV/atom
1.0
-1.829 -1.514 -4.156
2.758 -3.668 -1.361
-2.193 0.761 4.186
Br Mo P
1 1 2
direct
0.250 0.750 0.500
0.750 0.250 0.500
0.000 0.000 0.000
0.500 0.500 0.000

No. 5
GGA-PBE Ho2Ni17, optimized geometry; distance to the lowest polymorph of the same formula = 0.00 kJ/mol of atoms; electronic total energy = -0.4305 Ry/atom
1.0
8.279 0.000 0.000
-4.140 7.170 0.000
0.000 0.000 8.013
Ho Ni
4 34
direct
0.000 0.000 0.250
0.000 0.000 0.750
0.333 0.667 0.750
0.667 0.333 0.250
0.333 0.667 0.398
0.667 0.333 0.602
0.667 0.333 0.898
0.333 0.667 0.102
0.500 0.500 0.500
0.500 0.000 0.500
0.000 0.500 0.500
0.500 0.500 0.000
0.500 0.000 0.000
0.000 0.500 0.000
0.328 0.371 0.250
0.629 0.957 0.250
0.043 0.672 0.250
0.629 0.672 0.250
0.043 0.371 0.250
0.328 0.957 0.250
0.672 0.629 0.750
0.371 0.043 0.750
0.957 0.328 0.750
0.371 0.328 0.750
0.957 0.629 0.750
0.672 0.043 0.750
0.166 0.834 0.521
0.166 0.331 0.521
0.669 0.834 0.521
0.834 0.166 0.479
0.834 0.669 0.479
0.331 0.166 0.479
0.834 0.166 0.021
0.834 0.669 0.021
0.331 0.166 0.021
0.166 0.834 0.979
0.166 0.331 0.979
0.669 0.834 0.979

No. 6
GGA-PBE Ho2SbTe4, optimized geometry; electronic total energy = -0.3370 Ry/atom; uncorrected formation energy = -893 meV/atom
1.0
4.266 0.000 0.000
0.000 7.619 -0.113
-2.133 -3.827 7.486
Ho Sb Te
2 1 4
direct
0.742 0.763 0.484
0.258 0.237 0.516
0.000 0.000 0.000
0.879 0.209 0.757
0.121 0.791 0.243
0.638 0.303 0.276
0.362 0.697 0.724

No. 7
GGA-PBE Be5ZnAs4, optimized geometry; electronic total energy = -0.2817 Ry/atom
1.0
-3.517 -1.796 3.761
-5.269 -1.197 -5.500
2.587 -7.045 -0.945
Be Zn As
10 2 8
direct
0.753 0.241 0.251
0.753 0.241 0.749
0.255 0.000 0.500
0.753 0.759 0.251
0.753 0.759 0.749
0.247 0.741 0.249
0.247 0.741 0.751
0.745 0.500 0.000
0.247 0.259 0.751
0.247 0.259 0.249
0.251 0.000 0.000
0.749 0.500 0.500
0.991 0.264 0.000
0.503 0.000 0.266
0.503 0.000 0.734
0.991 0.736 0.000
0.009 0.764 0.500
0.497 0.500 0.234
0.497 0.500 0.766
0.009 0.236 0.500

No. 8
GGA-PBE BaPrCu2H6, optimized geometry; electronic total energy = -0.2789 Ry/atom
1.0
6.672 -0.156 -0.153
-0.971 6.603 -0.153
-1.801 -2.036 6.574
Ba Pr Cu H
2 2 4 12
direct
0.148 0.852 0.250
0.852 0.148 0.750
0.595 0.405 0.250
0.405 0.595 0.750
0.362 0.135 0.764
0.865 0.638 0.736
0.638 0.865 0.236
0.135 0.362 0.264
0.912 0.409 0.161
0.591 0.088 0.339
0.088 0.591 0.839
0.409 0.912 0.661
0.220 0.190 0.112
0.810 0.780 0.388
0.780 0.810 0.888
0.190 0.220 0.612
0.349 0.561 0.401
0.439 0.651 0.099
0.651 0.439 0.599
0.561 0.349 0.901

No. 9
GGA-PBE TbNd2ErSc4, optimized geometry; electronic total energy = -0.4000 Ry/atom
1.0
3.454 0.000 0.000
0.000 5.972 -0.091
0.000 2.146 10.993
Tb Nd Er Sc
1 2 1 4
direct
0.500 0.500 0.000
0.000 0.000 0.000
0.500 0.000 0.500
0.000 0.500 0.500
0.000 0.749 0.750
0.000 0.251 0.250
0.500 0.748 0.251
0.500 0.252 0.749

No. 10
GGA-PBE BaCr2HgI, optimized geometry; electronic total energy = -0.2854 Ry/atom; uncorrected formation energy = 721 meV/atom
1.0
5.354 0.000 0.000
0.000 6.640 0.000
0.000 0.000 5.354
I Cr Hg Ba
1 2 1 1
direct
0.000 0.000 0.000
0.000 0.000 0.500
0.500 0.000 0.000
0.500 0.500 0.500
0.000 0.500 0.000

No. 11
GGA-PBE LiMg2Pd5, optimized geometry; distance to the lowest polymorph of the same formula = 0.00 kJ/mol of atoms; electronic total energy = -0.3255 Ry/atom
1.0
5.920 -0.004 -0.009
-0.004 5.920 -0.010
-2.961 -2.960 3.520
Li Mg Pd
1 2 5
direct
0.222 0.222 0.443
0.222 0.722 0.445
0.722 0.222 0.445
0.722 0.222 0.944
0.223 0.223 0.945
0.722 0.722 0.944
0.222 0.722 0.944
0.722 0.722 0.444

No. 12
GGA-PBE ThCuNi, optimized geometry; electronic total energy = -0.4486 Ry/atom
1.0
3.612 -0.345 -0.143
0.273 3.733 -1.966
0.310 -0.322 8.523
Th Cu Ni
2 2 2
direct
0.363 0.563 0.264
0.363 0.606 0.806
0.863 0.253 0.452
0.863 0.918 0.618
0.863 0.920 0.121
0.863 0.248 0.949

No. 13
GGA-PBE FeOs3Pd, optimized geometry; distance to the lowest polymorph of the same formula = 0.00 kJ/mol of atoms; electronic total energy = -0.5678 Ry/atom
1.0
-1.808 -3.238 -2.337
3.933 -1.888 -0.427
-0.691 -2.273 3.684
Os Fe Pd
3 1 1
direct
0.000 0.500 0.000
0.000 0.000 0.500
0.500 0.000 0.000
0.000 0.000 0.000
0.500 0.500 0.500

No. 14
GGA-PBE BaAc8Rh4, optimized geometry; electronic total energy = -0.4008 Ry/atom
1.0
4.297 0.000 0.931
1.952 10.588 1.375
-0.155 0.046 11.102
Ba Ac Rh
1 8 4
direct
0.515 0.002 0.967
0.153 0.322 0.372
0.558 0.649 0.235
0.474 0.354 0.698
0.878 0.682 0.562
0.850 0.989 0.312
0.222 0.656 0.900
0.182 0.014 0.622
0.810 0.347 0.033
0.370 0.830 0.431
0.849 0.509 0.792
0.182 0.494 0.141
0.662 0.173 0.503

No. 15
GGA-PBE CsTaBe, optimized geometry; distance to the lowest polymorph of the same formula = 110.35 kJ/mol of atoms; electronic total energy = -0.2838 Ry/atom
1.0
-3.044 2.931 -2.366
3.977 -1.658 -2.212
-4.384 -6.800 -2.784
Cs Be Ta
2 2 2
direct
0.667 0.333 0.000
0.667 0.333 0.500
0.333 0.667 0.347
0.333 0.667 0.653
0.000 0.000 0.354
0.000 0.000 0.646

No. 16
GGA-PBE MgBHO3, optimized geometry; electronic total energy = -0.4906 Ry/atom
1.0
10.484 0.000 0.000
0.000 3.179 0.006
0.000 1.311 12.631
Mg B H O
8 8 8 24
direct
0.080 0.703 0.088
0.580 0.297 0.412
0.920 0.297 0.912
0.420 0.703 0.588
0.362 0.231 0.995
0.862 0.769 0.505
0.638 0.769 0.005
0.138 0.231 0.495
0.168 0.761 0.861
0.668 0.239 0.639
0.832 0.239 0.139
0.332 0.761 0.361
0.048 0.629 0.693
0.548 0.371 0.807
0.952 0.371 0.307
0.452 0.629 0.193
0.244 0.128 0.161
0.744 0.872 0.339
0.756 0.872 0.839
0.256 0.128 0.661
0.119 0.680 0.306
0.619 0.320 0.194
0.881 0.320 0.694
0.381 0.680 0.806
0.062 0.779 0.924
0.562 0.221 0.576
0.938 0.221 0.076
0.438 0.779 0.424
0.291 0.768 0.898
0.791 0.232 0.602
0.709 0.232 0.102
0.209 0.768 0.398
0.153 0.735 0.751
0.653 0.265 0.749
0.847 0.265 0.249
0.347 0.735 0.251
0.449 0.597 0.753
0.949 0.403 0.747
0.551 0.403 0.247
0.051 0.597 0.253
0.043 0.720 0.585
0.543 0.280 0.915
0.957 0.280 0.415
0.457 0.720 0.085
0.295 0.199 0.591
0.795 0.801 0.909
0.705 0.801 0.409
0.205 0.199 0.091

No. 17
GGA-PBE Rb2Tm2TeO6, optimized geometry; electronic total energy = -0.4617 Ry/atom; uncorrected formation energy = -2302 meV/atom
1.0
5.903 -0.015 0.069
-2.931 5.124 0.069
-1.041 -1.790 6.628
Rb Tm Te O
2 2 1 6
direct
0.834 0.166 0.000
0.166 0.834 0.000
0.335 0.665 0.500
0.665 0.335 0.500
0.000 0.000 0.500
0.728 0.728 0.666
0.050 0.384 0.666
0.272 0.272 0.334
0.384 0.050 0.666
0.950 0.616 0.334
0.616 0.950 0.334

No. 18
GGA-PBE MgCrPd, optimized geometry; electronic total energy = -0.3901 Ry/atom
1.0
7.886 0.000 0.000
0.000 4.996 0.000
0.000 0.000 4.559
Cr Mg Pd
4 4 4
direct
0.000 0.000 0.000
0.500 0.500 0.500
0.500 0.000 0.500
0.000 0.500 0.000
0.666 0.250 0.000
0.834 0.750 0.500
0.334 0.750 0.000
0.166 0.250 0.500
0.333 0.250 0.000
0.167 0.750 0.500
0.667 0.750 0.000
0.833 0.250 0.500

No. 19
GGA-PBE DyZn2GaCu4, optimized geometry; electronic total energy = -0.2553 Ry/atom
1.0
4.207 0.000 0.000
2.104 3.644 0.000
2.104 1.215 8.160
Dy Zn Ga Cu
1 2 1 4
direct
0.000 0.000 0.000
0.754 0.754 0.738
0.246 0.246 0.262
0.500 0.500 0.500
0.401 0.401 0.798
0.871 0.871 0.387
0.129 0.129 0.613
0.599 0.599 0.202

No. 20
GGA-PBE Ba2CaY, optimized geometry; distance to the lowest polymorph of the same formula = 7.02 kJ/mol of atoms; electronic total energy = -0.2111 Ry/atom
1.0
4.516 0.000 0.000
0.000 6.385 0.000
0.000 0.000 6.417
Y Ca Ba
1 1 2
direct
0.000 0.500 0.500
0.500 0.000 0.500
0.000 0.000 0.000
0.500 0.500 0.000

In states/eV/cell, the Fermi-level density of states values for the records above are, in order, 17.49 16.77 12.26 2.69 51.67 2.60 0.48 3.53 10.85 2.64 4.50 4.65 6.49 10.20 0.57 0.00 0.00 11.26 3.22 4.26.
In Mg/m³, the calculated density values for the records above are, in order, 8.58 8.80 10.71 6.18 9.27 6.62 4.28 4.80 5.80 4.96 7.93 10.33 14.45 7.75 6.17 2.66 6.03 6.76 8.19 3.62.